No. 1
Computed, not measured: ScReIr2 after structural relaxation at the PBE level of DFT.

Structure (POSCAR):
```
ScReIr2
1.0
2.8379 0.0000 0.0000
0.0000 3.9637 0.0000
0.0000 0.0000 5.6808
Sc Re Ir
1 1 2
direct
0.0000 0.0000 0.0000
0.5000 0.5000 0.6895
0.0000 0.0000 0.5080
0.5000 0.5000 0.2164
```

The value obtained for the excess energy over the best structure of this formula in the dataset is 0.2141 eV/atom. The calculation puts the volume at 63.9 Å³ per cell. The value obtained for the formation energy is -23 kJ per mole of atoms. The calculation puts the total magnetic moment at 0.00 Bohr magnetons per cell. The calculation puts the total energy at -9.367 eV/atom. Its space group is Pmm2.

No. 2
Computed, not measured: LiDyHg after structural relaxation at the PBE level of DFT.

Structure (POSCAR):
```
LiDyHg
1.0
9.6910 0.0000 0.0000
0.0000 3.5969 0.0000
0.0000 0.0000 8.2096
Li Dy Hg
4 4 4
direct
0.1049 0.2500 0.0338
0.3951 0.7500 0.5338
0.6049 0.2500 0.4662
0.8951 0.7500 0.9662
0.1131 0.7500 0.3622
0.3869 0.2500 0.8622
0.6131 0.7500 0.1378
0.8869 0.2500 0.6378
0.1387 0.7500 0.7434
0.3613 0.2500 0.2434
0.6387 0.7500 0.7566
0.8613 0.2500 0.2566
```

The value obtained for the excess energy over the best structure of this formula in the dataset is 0.1087 eV/atom. The calculation puts the volume at 286.2 Å³ per cell. The value obtained for the formation energy is -24 kJ per mole of atoms. The calculation puts the total magnetic moment at 0.00 Bohr magnetons per cell. The calculation puts the total energy at -2.520 eV/atom. Its space group is Pnma.